# Pa2CuGe4Rh3, relaxed, DFT GGA-PBE
# Energy of formation from the pure elements   -6.21 eV/f.u.
# Space-group type   P-4m2
# D(E_F)   6.94 states/eV per cell
data_Pa2CuGe4Rh3
_space_group_name_H-M_alt 'P 1'
_space_group_IT_number 1
_space_group_name_Hall 'P 1'
_cell_length_a 4.216
_cell_length_b 4.216
_cell_length_c 9.986
_cell_angle_alpha 90.00
_cell_angle_beta 90.00
_cell_angle_gamma 90.00
loop_
_atom_site_label
_atom_site_fract_x
_atom_site_fract_y
_atom_site_fract_z
Pa1 0.000 0.500 0.247
Pa2 0.500 0.000 0.753
Cu1 0.500 0.500 0.000
Ge1 0.000 0.000 0.500
Ge2 0.000 0.500 0.869
Ge3 0.500 0.000 0.131
Ge4 0.500 0.500 0.500
Rh1 0.000 0.000 0.000
Rh2 0.000 0.500 0.629
Rh3 0.500 0.000 0.371